Record 1
CoOsAu: relaxed, GGA-PBE.

a b c (Å): 7.335 7.098 2.703
angles (deg): 84.18 74.31 21.50
Last column: magnetic moment on the atom in μB.
Fractional positions:
Au: 0.006 0.006 0.994  0.02
Co: 0.674 0.674 0.326  1.67
Os: 0.320 0.320 0.680  0.42

Results
polymorph energy (0 for the lowest one) = 184 meV/atom



Record 2
Dy4Er6Sc: relaxed, GGA-PBE.

a b c (Å): 5.550 5.516 25.385
angles (deg): 90.00 90.00 120.21
Fractional positions:
Dy: 0.836 0.673 0.543
Dy: 0.490 0.981 0.122
Dy: 0.164 0.327 0.457
Dy: 0.510 0.019 0.878
Dy: 0.836 0.673 0.957
Dy: 0.164 0.327 0.043
Dy: 0.510 0.019 0.622
Dy: 0.490 0.981 0.378
Er: 0.500 0.000 0.000
Er: 0.500 0.000 0.500
Er: 0.159 0.318 0.317
Er: 0.841 0.682 0.683
Er: 0.841 0.682 0.817
Er: 0.159 0.318 0.183
Er: 0.825 0.651 0.393
Er: 0.175 0.349 0.607
Er: 0.175 0.349 0.893
Er: 0.825 0.651 0.107
Er: 0.493 0.986 0.250
Er: 0.507 0.014 0.750
Sc: 0.827 0.654 0.250
Sc: 0.173 0.346 0.750



Record 3
ZnRe3: relaxed, GGA-PBE.

a b c (Å): 3.892 3.892 3.892
angles (deg): 90.00 90.00 90.00
Fractional positions:
Re: 0.000 0.000 0.000
Re: 0.000 0.500 0.500
Re: 0.500 0.000 0.500
Zn: 0.500 0.500 0.000



Record 4
NdDy2Ho: relaxed, GGA-PBE.

a b c (Å): 3.572 3.572 11.824
angles (deg): 81.31 81.31 60.00
Fractional positions:
Nd: 0.500 0.500 0.500
Ho: 0.000 0.000 0.000
Dy: 0.251 0.251 0.246
Dy: 0.749 0.749 0.754

Results
polymorph energy (0 for the lowest one) = 12 meV/atom



no.,ΔH_f (0 K) (eV per atom)
1,0.5265
2,0.1375
3,0.4204
4,0.0191